Computed, not measured: a relaxed Sr2CuPb crystal at the GGA-PBE level of DFT.

## Properties
VASP energy = -2.860 eV/atom
total magnetization = 0.00 μB per cell
formation energy = -0.0676 eV/atom

abc: 4.813 4.813 10.834
angles: 90.00 90.00 90.00
Space group I-4m2 (No. 119)
One atom of each set of equivalent atoms:
Sr (0.000, 0.000, 0.000)
Sr (0.000, 0.500, 0.250)
Cu (0.000, 0.500, 0.750)
Pb (0.000, 0.000, 0.500)